PBE CdHg2H2, relaxed; density of states at the Fermi level = 3.94 states/eV per cell; ρ = 9.505 Mg/m³; offset from the most stable computed form = 1.54 eV/f.u.; SG = P4/mbm (127); total DFT energy (no corrections) = -1.28 eV/atom; spin magnetization = 0.000 μB/atom; V = 18.0 A^3/atom
1.0
6.831 0.000 0.000
0.000 6.831 0.000
0.000 0.000 3.861
Cd Hg H
2 4 4
Cartesian
0.000 0.000 0.000
3.415 3.415 0.000
1.111 2.304 1.930
2.304 5.720 1.930
4.526 1.111 1.930
5.720 4.526 1.930
1.121 2.295 0.000
2.295 5.710 0.000
4.536 1.121 0.000
5.710 4.536 0.000

PBE YZn2Cu4, relaxed; energy of formation from the pure elements = 0.27 eV/atom; density of states at the Fermi level = 2.78 states/eV per cell; ρ = 5.735 Mg/m³; offset from the most stable computed form = 3.50 eV/f.u.; SG = I4/mmm (139); total DFT energy (no corrections) = -3.36 eV/atom; spin magnetization = 0.000 μB/atom; V = 19.6 A^3/atom
1.0
-3.650 3.650 2.574
3.650 -3.650 2.574
3.650 3.650 -2.574
Y Zn Cu
1 2 4
Cartesian
0.000 0.000 0.000
3.650 0.000 1.287
0.000 3.650 1.287
3.650 2.008 0.000
2.008 3.650 0.000
1.642 0.000 2.574
0.000 1.642 2.574

PBE CaTbMgRh, relaxed; energy of formation from the pure elements = -0.26 eV/atom; density of states at the Fermi level = 3.69 states/eV per cell; ρ = 5.792 Mg/m³; SG = F-43m (216); total DFT energy (no corrections) = -4.16 eV/atom; spin magnetization = 0.000 μB/atom; V = 23.4 A^3/atom
1.0
0.000 3.603 3.603
3.603 0.000 3.603
3.603 3.603 0.000
Ca Tb Mg Rh
1 1 1 1
Cartesian
0.000 0.000 0.000
3.603 3.603 3.603
1.801 1.801 1.801
5.404 5.404 5.404

PBE PbSeI2, relaxed; density of states at the Fermi level = 2.86 states/eV per cell; ρ = 5.942 Mg/m³; uncorrected formation energy = 0.115 eV/atom; offset from the most stable computed form = 0.00 eV/f.u.; SG = I-42d (122); total DFT energy (no corrections) = -2.46 eV/atom; spin magnetization = 0.487 μB/atom; V = 37.7 A^3/atom
1.0
-4.462 4.462 3.790
4.462 -4.462 3.790
4.462 4.462 -3.790
Pb Se I
2 2 4
Cartesian
0.000 0.000 0.000
0.000 4.462 1.895
4.462 0.000 1.895
0.000 0.000 3.790
2.231 2.115 -0.948
2.347 -2.231 4.738
2.231 2.347 2.843
2.115 6.693 0.948

PBE ZrZn2Ni9, relaxed; energy of formation from the pure elements = -0.17 eV/atom; density of states at the Fermi level = 15.35 states/eV per cell; ρ = 8.264 Mg/m³; offset from the most stable computed form = 0.55 eV/f.u.; SG = R-3m (166); total DFT energy (no corrections) = -5.43 eV/atom; spin magnetization = 0.150 μB/atom; V = 12.6 A^3/atom
1.0
2.369 1.368 7.753
-2.369 1.368 7.753
0.000 -2.736 7.753
Zr Zn Ni
1 2 9
Cartesian
0.000 0.000 0.000
0.000 0.000 3.343
0.000 0.000 19.917
-1.200 -0.693 9.739
0.000 0.000 7.775
0.000 -1.385 13.521
-1.200 0.693 13.521
0.000 0.000 11.630
1.200 -0.693 9.739
0.000 1.385 9.739
0.000 0.000 15.485
1.200 0.693 13.521

PBE YHgRh2, relaxed; energy of formation from the pure elements = -0.24 eV/atom; density of states at the Fermi level = 6.25 states/eV per cell; ρ = 10.752 Mg/m³; SG = P4mm (99); total DFT energy (no corrections) = -5.61 eV/atom; spin magnetization = 0.000 μB/atom; V = 19.1 A^3/atom
1.0
3.636 0.000 0.000
0.000 3.636 0.000
0.000 0.000 5.787
Y Hg Rh
1 1 2
Cartesian
0.000 0.000 0.000
1.818 1.818 1.796
0.000 0.000 3.049
1.818 1.818 4.543

PBE FeMoRh2, relaxed; energy of formation from the pure elements = -0.14 eV/atom; density of states at the Fermi level = 2.50 states/eV per cell; ρ = 10.623 Mg/m³; offset from the most stable computed form = 0.00 eV/f.u.; SG = I4/mmm (139); total DFT energy (no corrections) = -8.64 eV/atom; spin magnetization = 0.603 μB/atom; V = 14.0 A^3/atom
1.0
-1.923 1.923 3.779
1.923 -1.923 3.779
1.923 1.923 -3.779
Fe Mo Rh
1 1 2
Cartesian
0.000 0.000 0.000
0.000 0.000 3.779
1.923 0.000 1.890
0.000 1.923 1.890

PBE Pr2HgI, relaxed; density of states at the Fermi level = 4.07 states/eV per cell; ρ = 7.592 Mg/m³; uncorrected formation energy = -0.647 eV/atom; offset from the most stable computed form = 0.04 eV/f.u.; SG = R-3m (166); total DFT energy (no corrections) = -3.50 eV/atom; spin magnetization = 0.000 μB/atom; V = 33.3 A^3/atom
1.0
2.223 1.284 7.783
-2.223 1.284 7.783
0.000 -2.567 7.783
Pr Hg I
2 1 1
Cartesian
0.000 0.000 5.689
0.000 0.000 17.661
0.000 0.000 11.675
0.000 0.000 0.000